(1)
# NdZnCd (GGA-PBE, optimized geometry)
# - mass density (g/cm³) = 7.47
# - VASP energy (eV/atom) = -2.634
# - DFT formation energy (eV/atom) = -0.32
data_NdZnCd
_space_group_name_H-M_alt 'P 1'
_space_group_IT_number 1
_cell_length_a 3.472
_cell_length_b 4.880
_cell_length_c 4.880
_cell_angle_alpha 120.00
_cell_angle_beta 90.00
_cell_angle_gamma 90.00
loop_
_space_group_symop_operation_xyz
'x,y,z'
loop_
_atom_site_label
_atom_site_type_symbol
_atom_site_fract_x
_atom_site_fract_y
_atom_site_fract_z
Cd1 Cd 0.167 0.000 0.000
Nd1 Nd 0.667 0.667 0.333
Zn1 Zn 0.167 0.333 0.667

=====

(2)
# Nd6Zn3Cd (GGA-PBE, optimized geometry)
# - mass density (g/cm³) = 7.09
# - VASP energy (eV/atom) = -3.538
# - DFT formation energy (eV/atom) = -0.20
data_Nd6Zn3Cd
_space_group_name_H-M_alt 'P 1'
_space_group_IT_number 1
_cell_length_a 5.241
_cell_length_b 9.459
_cell_length_c 11.611
_cell_angle_alpha 107.04
_cell_angle_beta 90.00
_cell_angle_gamma 90.00
loop_
_space_group_symop_operation_xyz
'x,y,z'
loop_
_atom_site_label
_atom_site_type_symbol
_atom_site_fract_x
_atom_site_fract_y
_atom_site_fract_z
Nd1 Nd 0.250 0.823 0.296
Nd2 Nd 0.250 0.275 0.508
Nd3 Nd 0.750 0.350 0.317
Nd4 Nd 0.250 0.105 0.876
Nd5 Nd 0.250 0.461 0.092
Nd6 Nd 0.750 0.725 0.492
Nd7 Nd 0.750 0.539 0.908
Nd8 Nd 0.750 0.177 0.704
Nd9 Nd 0.750 0.895 0.124
Nd10 Nd 0.250 0.650 0.683
Nd11 Nd 0.250 0.124 0.154
Nd12 Nd 0.750 0.876 0.846
Zn1 Zn 0.750 0.227 0.022
Zn2 Zn 0.750 0.617 0.213
Zn3 Zn 0.250 0.383 0.787
Zn4 Zn 0.750 0.467 0.620
Zn5 Zn 0.250 0.533 0.380
Zn6 Zn 0.250 0.773 0.978
Cd1 Cd 0.750 0.046 0.410
Cd2 Cd 0.250 0.954 0.590

=====

(3)
# Nd6Zn2Cd (GGA-PBE, optimized geometry)
# - mass density (g/cm³) = 6.86
# - VASP energy (eV/atom) = -3.727
# - DFT formation energy (eV/atom) = -0.16
data_Nd6Zn2Cd
_space_group_name_H-M_alt 'P 1'
_space_group_IT_number 1
_cell_length_a 8.870
_cell_length_b 8.870
_cell_length_c 8.870
_cell_angle_alpha 107.94
_cell_angle_beta 111.27
_cell_angle_gamma 109.22
loop_
_space_group_symop_operation_xyz
'x,y,z'
loop_
_atom_site_label
_atom_site_type_symbol
_atom_site_fract_x
_atom_site_fract_y
_atom_site_fract_z
Nd1 Nd 0.206 0.246 0.452
Nd2 Nd 0.206 0.754 0.960
Nd3 Nd 0.794 0.754 0.548
Nd4 Nd 0.281 0.600 0.319
Nd5 Nd 0.452 0.269 0.183
Nd6 Nd 0.914 0.731 0.183
Nd7 Nd 0.719 0.400 0.681
Nd8 Nd 0.548 0.731 0.817
Nd9 Nd 0.794 0.246 0.040
Nd10 Nd 0.719 0.038 0.319
Nd11 Nd 0.086 0.269 0.817
Nd12 Nd 0.281 0.962 0.681
Zn1 Zn 0.500 0.623 0.123
Zn2 Zn 0.367 0.000 0.367
Zn3 Zn 0.500 0.377 0.877
Zn4 Zn 0.633 0.000 0.633
Cd1 Cd 0.000 0.000 0.000
Cd2 Cd 0.000 0.500 0.500

=====

(4)
# NdZnCd4 (GGA-PBE, optimized geometry)
# - mass density (g/cm³) = 7.55
# - VASP energy (eV/atom) = -1.749
# - DFT formation energy (eV/atom) = -0.13
# - energy above the lowest structure with this stoichiometry (kcal/mol of atoms) = 0.00
data_NdZnCd4
_space_group_name_H-M_alt 'P 1'
_space_group_IT_number 1
_cell_length_a 5.008
_cell_length_b 7.127
_cell_length_c 9.222
_cell_angle_alpha 112.73
_cell_angle_beta 105.88
_cell_angle_gamma 90.00
loop_
_space_group_symop_operation_xyz
'x,y,z'
loop_
_atom_site_label
_atom_site_type_symbol
_atom_site_fract_x
_atom_site_fract_y
_atom_site_fract_z
Zn1 Zn 0.736 0.499 0.998
Zn2 Zn 0.264 0.501 0.002
Cd1 Cd 0.379 0.110 0.759
Cd2 Cd 0.621 0.350 0.241
Cd3 Cd 0.379 0.650 0.759
Cd4 Cd 0.836 0.335 0.669
Cd5 Cd 0.164 0.665 0.331
Cd6 Cd 0.621 0.890 0.241
Cd7 Cd 0.000 0.183 0.000
Cd8 Cd 0.000 0.817 0.000
Nd1 Nd 0.794 0.794 0.588
Nd2 Nd 0.206 0.206 0.412

=====

(5)
# NdZnCd2 (GGA-PBE, optimized geometry)
# - mass density (g/cm³) = 7.42
# - VASP energy (eV/atom) = -2.179
# - DFT formation energy (eV/atom) = -0.21
data_NdZnCd2
_space_group_name_H-M_alt 'P 1'
_space_group_IT_number 1
_cell_length_a 4.885
_cell_length_b 4.461
_cell_length_c 4.461
_cell_angle_alpha 90.00
_cell_angle_beta 90.00
_cell_angle_gamma 90.00
loop_
_space_group_symop_operation_xyz
'x,y,z'
loop_
_atom_site_label
_atom_site_type_symbol
_atom_site_fract_x
_atom_site_fract_y
_atom_site_fract_z
Cd1 Cd 0.000 0.500 0.000
Cd2 Cd 0.000 0.000 0.500
Nd1 Nd 0.500 0.500 0.500
Zn1 Zn 0.500 0.000 0.000

=====

(6)
# Nd2Zn15Cd2 (GGA-PBE, optimized geometry)
# - mass density (g/cm³) = 7.59
# - VASP energy (eV/atom) = -1.839
# - DFT formation energy (eV/atom) = -0.23
data_Nd2Zn15Cd2
_space_group_name_H-M_alt 'P 1'
_space_group_IT_number 1
_cell_length_a 6.939
_cell_length_b 6.939
_cell_length_c 6.939
_cell_angle_alpha 82.84
_cell_angle_beta 82.84
_cell_angle_gamma 82.84
loop_
_space_group_symop_operation_xyz
'x,y,z'
loop_
_atom_site_label
_atom_site_type_symbol
_atom_site_fract_x
_atom_site_fract_y
_atom_site_fract_z
Zn1 Zn 0.000 0.701 0.299
Zn2 Zn 0.834 0.353 0.353
Zn3 Zn 0.500 0.000 0.000
Zn4 Zn 0.647 0.166 0.647
Zn5 Zn 0.299 0.701 0.000
Zn6 Zn 0.353 0.353 0.834
Zn7 Zn 0.353 0.834 0.353
Zn8 Zn 0.299 0.000 0.701
Zn9 Zn 0.647 0.647 0.166
Zn10 Zn 0.701 0.299 0.000
Zn11 Zn 0.166 0.647 0.647
Zn12 Zn 0.000 0.299 0.701
Zn13 Zn 0.701 0.000 0.299
Zn14 Zn 0.000 0.000 0.500
Zn15 Zn 0.000 0.500 0.000
Cd1 Cd 0.896 0.896 0.896
Cd2 Cd 0.104 0.104 0.104
Nd1 Nd 0.659 0.659 0.659
Nd2 Nd 0.341 0.341 0.341